(1)
DFT (PBE-GGA) results for crystalline SrCrCl2 at its relaxed geometry.

Lattice parameters (Å, degrees): 3.5806 3.5806 10.7371 90.00 90.00 90.00
Space group P4/mmm (No. 123)
Inequivalent atoms, fractional coordinates:
Sr: 0.0000 0.0000 0.0000 [1 per cell]
Cr: 0.0000 0.0000 0.5000 [1 per cell]
Cl: 0.5000 0.5000 0.1513 [2 per cell]

formation energy without anion corrections = -3.374 eV/f.u.
electronic total energy = -18.37 eV for the cell shown
energy above the most stable polymorph in this dataset = 29 kJ/mol of formula units
crystal system = tetragonal


(2)
DFT (PBE-GGA) results for crystalline KCoCl at its relaxed geometry.

Lattice parameters (Å, degrees): 7.1901 7.1901 7.1901 90.00 90.00 90.00
Space group F-43m (No. 216)
Inequivalent atoms, fractional coordinates:
K: 0.0000 0.0000 0.0000 [4 per cell]
Co: 0.2500 0.2500 0.7500 [4 per cell]
Cl: 0.0000 0.0000 0.5000 [4 per cell]

formation energy without anion corrections = 1.516 eV/f.u.
electronic total energy = -34.14 eV for the cell shown
energy above the most stable polymorph in this dataset = 154 kJ/mol of formula units
crystal system = cubic


(3)
DFT (PBE-GGA) results for crystalline MnIrRu2 at its relaxed geometry.

Lattice parameters (Å, degrees): 5.2717 9.1088 2.6986 90.00 118.23 90.00
Space group C2/m (No. 12)
Inequivalent atoms, fractional coordinates:
Mn: 0.0000 0.0000 0.0000 [2 per cell]
Ir: 0.0000 0.5000 0.0000 [2 per cell]
Ru: 0.2500 0.2500 0.5000 [4 per cell]

electronic total energy = -70.71 eV for the cell shown
energy above the most stable polymorph in this dataset = 137 kJ/mol of formula units
energy of formation = 306 meV/atom
crystal system = monoclinic


(4)
DFT (PBE-GGA) results for crystalline Ba2Ca2Tl3 at its relaxed geometry.

Lattice parameters (Å, degrees): 5.6123 5.6123 29.6529 90.00 90.00 120.00
Space group R-3m (No. 166, hexagonal axes)
Inequivalent atoms, fractional coordinates:
Ba: 0.0000 0.0000 0.1227 [6 per cell]
Ca: 0.0000 0.0000 0.3697 [6 per cell]
Tl: 0.0000 0.0000 0.0000 [3 per cell]
Tl: 0.0000 0.0000 0.2572 [6 per cell]

electronic total energy = -52.07 eV for the cell shown
energy of formation = -344 meV/atom
crystal system = trigonal


(5)
DFT (PBE-GGA) results for crystalline YVPAu2 at its relaxed geometry.

Lattice parameters (Å, degrees): 5.2929 5.2929 5.1576 90.00 90.00 90.00
Space group P4/mmm (No. 123)
Inequivalent atoms, fractional coordinates:
Y: 0.0000 0.0000 0.0000 [1 per cell]
V: 0.5000 0.5000 0.5000 [1 per cell]
P: 0.0000 0.0000 0.5000 [1 per cell]
Au: 0.0000 0.5000 0.0000 [2 per cell]

electronic total energy = -22.18 eV for the cell shown
energy of formation = 1073 meV/atom
crystal system = tetragonal


(6)
DFT (PBE-GGA) results for crystalline MnHgW at its relaxed geometry.

Lattice parameters (Å, degrees): 3.3640 4.5235 13.2498 90.00 90.00 90.00
Space group Fmm2 (No. 42)
Inequivalent atoms, fractional coordinates:
Mn: 0.0000 0.0000 0.0000 [4 per cell]
Hg: 0.0000 0.0000 0.6727 [4 per cell]
W: 0.0000 0.0000 0.3600 [4 per cell]

electronic total energy = -83.52 eV for the cell shown
energy above the most stable polymorph in this dataset = 0 kJ/mol of formula units
energy of formation = 515 meV/atom
crystal system = orthorhombic


(7)
DFT (PBE-GGA) results for crystalline Th2In3Pd at its relaxed geometry.

Lattice parameters (Å, degrees): 3.6652 4.9250 8.4853 90.00 90.00 90.00
Space group Pmm2 (No. 25)
Inequivalent atoms, fractional coordinates:
Th: 0.0000 0.0000 0.0000 [1 per cell]
Th: 0.0000 0.5000 0.4687 [1 per cell]
In: 0.5000 0.0000 0.6371 [1 per cell]
In: 0.5000 0.5000 0.1541 [1 per cell]
In: 0.5000 0.5000 0.8132 [1 per cell]
Pd: 0.5000 0.0000 0.3096 [1 per cell]

electronic total energy = -31.04 eV for the cell shown
energy of formation = -465 meV/atom
crystal system = orthorhombic


(8)
DFT (PBE-GGA) results for crystalline GdCu2Ru at its relaxed geometry.

Lattice parameters (Å, degrees): 6.4179 6.4179 6.4179 90.00 90.00 90.00
Space group Fm-3m (No. 225)
Inequivalent atoms, fractional coordinates:
Gd: 0.0000 0.0000 0.0000 [4 per cell]
Cu: 0.2500 0.2500 0.2500 [8 per cell]
Ru: 0.0000 0.0000 0.5000 [4 per cell]

electronic total energy = -125.38 eV for the cell shown
energy of formation = 51 meV/atom
crystal system = cubic